[1]
! PrTl2GaTe4, optimized geometry, DFT GGA-PBE; values from VASP
&SYSTEM
  ibrav = 0, nat = 16, ntyp = 4
/
ATOMIC_SPECIES
Te 127.60 Te.upf
Tl 204.38 Tl.upf
Pr 140.91 Pr.upf
Ga 69.72 Ga.upf
CELL_PARAMETERS angstrom
-4.023 5.241 -6.415
-8.157 -2.111 3.717
6.673 3.505 5.265
ATOMIC_POSITIONS angstrom
Te -2.678 5.771 3.003
Te 0.032 2.375 1.828
Te -0.461 3.036 6.593
Te -5.046 3.599 -4.026
Te -3.658 1.532 3.617
Te -2.829 0.864 -0.436
Te -1.849 5.103 -1.050
Te -5.539 4.260 0.740
Tl -2.011 2.620 -3.208
Tl 1.325 4.373 -0.575
Tl 3.336 1.753 2.633
Tl -6.090 1.565 -1.349
Pr -4.078 -1.055 1.859
Pr -4.765 5.938 -1.924
Ga 2.650 8.746 -1.150
Ga -2.753 3.318 1.284
! Total moment   0.000 μB per atom
! N(E_F)   0.484 states/eV/atom
! ρ   6.88 g/cm3
! Raw total energy   -3.7058 eV/atom
! SG   Imma (74)
! Raw formation energy   -55 kJ per mole of atoms

---

[2]
! Y3CdPd12, optimized geometry, DFT GGA-PBE; values from VASP
&SYSTEM
  ibrav = 0, nat = 16, ntyp = 3
/
ATOMIC_SPECIES
Pd 106.42 Pd.upf
Cd 112.41 Cd.upf
Y 88.91 Y.upf
CELL_PARAMETERS angstrom
-0.947 -0.803 3.914
3.199 -2.562 0.248
9.593 12.448 4.877
ATOMIC_POSITIONS angstrom
Pd 5.923 4.541 4.519
Pd 1.126 -1.683 2.081
Pd 2.761 0.226 0.714
Pd 3.112 4.251 3.779
Pd 3.506 1.405 3.291
Pd 7.959 10.539 6.243
Pd 5.185 3.371 1.947
Pd 5.535 7.394 5.011
Pd 7.607 6.515 3.178
Pd 0.688 1.105 2.547
Pd 10.031 9.660 4.410
Pd 8.340 7.677 5.748
Cd 0.000 0.000 0.000
Y 2.360 3.062 1.200
Y 7.233 9.386 3.677
Y 4.797 6.224 2.438
! Total moment   0.000 μB per atom
! N(E_F)   0.925 states/eV/atom
! ρ   9.91 g/cm3
! Raw total energy   -5.8546 eV/atom
! Formation energy   -0.691 eV per atom
! SG   P4/mmm (123)

---

[3]
! CdTe2Pd2, optimized geometry, DFT GGA-PBE; values from VASP
&SYSTEM
  ibrav = 0, nat = 5, ntyp = 3
/
ATOMIC_SPECIES
Te 127.60 Te.upf
Pd 106.42 Pd.upf
Cd 112.41 Cd.upf
CELL_PARAMETERS angstrom
-0.495 -5.320 0.156
5.266 -0.512 -0.762
2.988 -2.851 3.820
ATOMIC_POSITIONS angstrom
Te 5.320 -3.140 1.378
Te 2.440 -5.544 1.837
Pd 2.591 -2.894 1.099
Pd 5.169 -5.790 2.116
Cd 0.000 0.000 0.000
! Total moment   0.000 μB per atom
! Relative energy among the computed polymorphs   0.046 eV/atom
! N(E_F)   0.571 states/eV/atom
! ρ   8.09 g/cm3
! Raw total energy   -3.6468 eV/atom
! SG   I4/mmm (139)
! Raw formation energy   -13 kJ per mole of atoms

---

[4]
! Tl2CrRh, optimized geometry, DFT GGA-PBE; values from VASP
&SYSTEM
  ibrav = 0, nat = 4, ntyp = 3
/
ATOMIC_SPECIES
Tl 204.38 Tl.upf
Cr 52.00 Cr.upf
Rh 102.91 Rh.upf
CELL_PARAMETERS angstrom
3.204 0.000 0.000
0.000 3.204 0.000
0.000 0.000 8.017
ATOMIC_POSITIONS angstrom
Tl 1.602 1.602 2.360
Tl 0.000 0.000 7.653
Cr 0.000 0.000 4.403
Rh 1.602 1.602 5.626
! Total moment   0.790 μB per atom
! Relative energy among the computed polymorphs   0.000 eV/atom
! N(E_F)   0.783 states/eV/atom
! ρ   11.37 g/cm3
! Raw total energy   -5.1371 eV/atom
! Formation energy   0.290 eV per atom
! SG   P4mm (99)

---

[5]
! CaPuAl4, optimized geometry, DFT GGA-PBE; values from VASP
&SYSTEM
  ibrav = 0, nat = 6, ntyp = 3
/
ATOMIC_SPECIES
Al 26.98 Al.upf
Pu 244.00 Pu.upf
Ca 40.08 Ca.upf
CELL_PARAMETERS angstrom
5.596 0.000 0.000
2.798 4.847 0.000
2.798 1.616 4.569
ATOMIC_POSITIONS angstrom
Al 4.186 4.045 2.860
Al 7.007 4.045 2.860
Al 5.596 3.231 0.557
Al 5.596 1.602 2.860
Pu 0.000 0.000 0.000
Ca 2.798 1.616 1.142
! Total moment   0.975 μB per atom
! N(E_F)   2.381 states/eV/atom
! ρ   5.25 g/cm3
! Raw total energy   -5.5019 eV/atom
! Formation energy   -0.285 eV per atom
! SG   F-43m (216)

---

[6]
! RbBaHgAs, optimized geometry, DFT GGA-PBE; values from VASP
&SYSTEM
  ibrav = 0, nat = 4, ntyp = 4
/
ATOMIC_SPECIES
Rb 85.47 Rb.upf
Ba 137.33 Ba.upf
As 74.92 As.upf
Hg 200.59 Hg.upf
CELL_PARAMETERS angstrom
-1.570 -5.533 -0.899
2.602 -4.282 2.964
-2.936 -2.897 4.108
ATOMIC_POSITIONS angstrom
Rb 0.000 0.000 0.000
Ba -0.952 -6.356 3.087
As -0.476 -3.178 1.543
Hg -1.428 -9.534 4.630
! Total moment   0.000 μB per atom
! ρ   5.93 g/cm3
! Raw total energy   -2.5310 eV/atom
! Formation energy   -0.571 eV per atom
! SG   F-43m (216)

---

[7]
! Ac2Pm2Dy3, optimized geometry, DFT GGA-PBE; values from VASP
&SYSTEM
  ibrav = 0, nat = 7, ntyp = 3
/
ATOMIC_SPECIES
Ac 227.00 Ac.upf
Dy 162.50 Dy.upf
Pm 145.00 Pm.upf
CELL_PARAMETERS angstrom
3.583 0.000 0.000
0.000 5.790 -0.173
0.000 3.257 12.094
ATOMIC_POSITIONS angstrom
Ac 0.000 6.098 10.126
Ac 0.000 2.949 1.795
Dy 0.000 0.000 0.000
Dy 0.000 5.993 6.699
Dy 0.000 3.054 5.223
Pm 1.791 5.902 3.502
Pm 1.791 3.145 8.420
! Total moment   0.000 μB per atom
! N(E_F)   1.557 states/eV/atom
! ρ   8.09 g/cm3
! Raw total energy   -4.3389 eV/atom
! Formation energy   0.165 eV per atom
! SG   P2/m (10)

---

[8]
! NaPtN2F, optimized geometry, DFT GGA-PBE; values from VASP
&SYSTEM
  ibrav = 0, nat = 5, ntyp = 4
/
ATOMIC_SPECIES
N 14.01 N.upf
F 19.00 F.upf
Na 22.99 Na.upf
Pt 195.08 Pt.upf
CELL_PARAMETERS angstrom
-0.147 4.833 0.137
-2.655 0.003 -2.944
-3.589 -0.201 3.236
ATOMIC_POSITIONS angstrom
N -0.074 2.416 0.069
N -1.795 -0.101 1.618
F 0.000 0.000 0.000
Na -3.196 2.317 0.215
Pt -1.327 0.001 -1.472
! Total moment   1.187 μB per atom
! Relative energy among the computed polymorphs   1.664 eV/atom
! N(E_F)   0.492 states/eV/atom
! ρ   4.75 g/cm3
! Raw total energy   -3.4432 eV/atom
! SG   P4/mmm (123)
! Raw formation energy   167 kJ per mole of atoms

---

[9]
! Y2HfNbPb, optimized geometry, DFT GGA-PBE; values from VASP
&SYSTEM
  ibrav = 0, nat = 5, ntyp = 4
/
ATOMIC_SPECIES
Hf 178.49 Hf.upf
Y 88.91 Y.upf
Pb 207.20 Pb.upf
Nb 92.91 Nb.upf
CELL_PARAMETERS angstrom
5.290 0.000 0.000
0.000 5.466 0.000
0.000 0.000 5.290
ATOMIC_POSITIONS angstrom
Hf 2.645 2.733 2.645
Y 2.645 0.000 0.000
Y 0.000 0.000 2.645
Pb 0.000 2.733 0.000
Nb 0.000 0.000 0.000
! Total moment   0.000 μB per atom
! N(E_F)   1.793 states/eV/atom
! ρ   7.13 g/cm3
! Raw total energy   -6.4462 eV/atom
! Formation energy   0.886 eV per atom
! SG   P4/mmm (123)

---

[10]
! Sc2NiPb, optimized geometry, DFT GGA-PBE; values from VASP
&SYSTEM
  ibrav = 0, nat = 4, ntyp = 3
/
ATOMIC_SPECIES
Sc 44.96 Sc.upf
Pb 207.20 Pb.upf
Ni 58.69 Ni.upf
CELL_PARAMETERS angstrom
-1.230 -4.061 2.288
3.327 -3.378 0.871
1.519 -0.781 4.508
ATOMIC_POSITIONS angstrom
Sc 0.904 -2.055 1.917
Sc 0.000 0.000 0.000
Pb 2.712 -6.165 5.751
Ni 1.808 -4.110 3.834
! Total moment   0.463 μB per atom
! N(E_F)   1.574 states/eV/atom
! ρ   7.46 g/cm3
! Raw total energy   -5.5502 eV/atom
! Formation energy   -0.012 eV per atom
! SG   F-43m (216)

---

[11]
! Ac2PmThSb4, optimized geometry, DFT GGA-PBE; values from VASP
&SYSTEM
  ibrav = 0, nat = 8, ntyp = 4
/
ATOMIC_SPECIES
Sb 121.76 Sb.upf
Ac 227.00 Ac.upf
Th 232.04 Th.upf
Pm 145.00 Pm.upf
CELL_PARAMETERS angstrom
4.637 0.000 0.000
0.000 8.016 0.137
0.000 -2.804 7.573
ATOMIC_POSITIONS angstrom
Sb 2.319 1.303 1.795
Sb 0.000 5.321 1.865
Sb 0.000 -0.108 5.845
Sb 2.319 3.910 5.915
Ac 0.000 2.606 3.855
Ac 2.319 -1.402 3.787
Th 0.000 0.000 0.000
Pm 2.319 4.008 0.068
! Total moment   0.000 μB per atom
! N(E_F)   0.227 states/eV/atom
! ρ   7.73 g/cm3
! Raw total energy   -5.7503 eV/atom
! SG   P2/m (10)
! Raw formation energy   -110 kJ per mole of atoms

---

[12]
! TbYCdFe, optimized geometry, DFT GGA-PBE; values from VASP
&SYSTEM
  ibrav = 0, nat = 4, ntyp = 4
/
ATOMIC_SPECIES
Fe 55.84 Fe.upf
Cd 112.41 Cd.upf
Tb 158.93 Tb.upf
Y 88.91 Y.upf
CELL_PARAMETERS angstrom
-4.733 -0.695 1.721
-0.777 -2.465 4.377
-1.614 2.541 4.097
ATOMIC_POSITIONS angstrom
Fe -3.562 -0.309 5.097
Cd 0.000 0.000 0.000
Tb -5.343 -0.464 7.646
Y -1.781 -0.155 2.549
! Total moment   0.392 μB per atom
! N(E_F)   1.856 states/eV/atom
! ρ   7.44 g/cm3
! Raw total energy   -5.1244 eV/atom
! Formation energy   -0.006 eV per atom
! SG   F-43m (216)